1.
Material: Ce2TmAg
Method: DFT, GGA-PBE
State: optimized geometry

Lattice parameters (Å, degrees): 5.364 5.364 5.365 60.01 60.01 60.00
Site moments in Bohr magnetons follow the coordinates.
Fractional coordinates of all 4 atoms:
Tm (0.000, 0.000, 0.000)  0.25
Ag (0.500, 0.500, 0.500)  0.00
Ce (0.750, 0.750, 0.750)  0.73
Ce (0.250, 0.250, 0.250)  0.73

Values from the calculation:
- E_tot: -4.6204 eV/atom
- ΔE_f: 0.7 eV/f.u.
- Size of the total moment: 2.0 μB per formula unit
- Space-group type: Fm-3m
- Energy above the most stable polymorph in this dataset: 120 meV/atom

2.
Material: AlInAsSe2
Method: DFT, GGA-PBE
State: optimized geometry

Lattice parameters (Å, degrees): 4.986 4.986 4.965 90.00 90.00 90.00
Fractional coordinates of all 5 atoms:
As (0.000, 0.000, 0.500)
Al (0.000, 0.000, 0.000)
Se (0.000, 0.500, 0.000)
Se (0.500, 0.000, 0.000)
In (0.500, 0.500, 0.500)

Values from the calculation:
- E_tot: -3.5699 eV/atom
- Size of the total moment: 0.0 μB per formula unit
- ΔE_f (raw): 0.050 eV per atom
- Space-group type: P4/mmm
- Energy above the most stable polymorph in this dataset: 0 meV/atom

3.
Material: Pr4YHo3Te8
Method: DFT, GGA-PBE
State: optimized geometry

Lattice parameters (Å, degrees): 8.757 9.005 8.757 119.09 120.00 90.00
Fractional coordinates of all 16 atoms:
Pr (0.500, 0.000, 0.000)
Pr (0.500, 0.000, 0.500)
Pr (0.000, 0.000, 0.000)
Pr (0.000, 0.000, 0.500)
Y (0.000, 0.500, 0.000)
Ho (0.500, 0.500, 0.000)
Ho (0.500, 0.500, 0.500)
Ho (0.000, 0.500, 0.500)
Te (0.245, 0.734, 0.989)
Te (0.245, 0.734, 0.491)
Te (0.256, 0.267, 0.511)
Te (0.743, 0.734, 0.989)
Te (0.257, 0.266, 0.011)
Te (0.744, 0.733, 0.489)
Te (0.755, 0.266, 0.509)
Te (0.755, 0.266, 0.011)

Values from the calculation:
- E_tot: -5.3832 eV/atom
- Size of the total moment: 0.0 μB per formula unit
- ΔE_f (raw): -1.355 eV per atom
- Space-group type: R-3m

4.
Material: LuPbAu2
Method: DFT, GGA-PBE
State: optimized geometry

Lattice parameters (Å, degrees): 3.851 3.851 8.196 76.41 76.41 60.00
Fractional coordinates of all 4 atoms:
Pb (0.500, 0.500, 0.500)
Lu (0.000, 0.000, 0.000)
Au (0.256, 0.256, 0.232)
Au (0.744, 0.744, 0.768)

Values from the calculation:
- E_tot: -4.1553 eV/atom
- ΔE_f: -1.8 eV/f.u.
- Size of the total moment: 0.0 μB per formula unit
- Space-group type: R-3m

5.
Material: SrReO2
Method: DFT, GGA-PBE
State: optimized geometry

Lattice parameters (Å, degrees): 6.351 6.351 6.351 34.95 34.95 34.95
Fractional coordinates of all 4 atoms:
Re (0.000, 0.000, 0.000)
O (0.898, 0.898, 0.898)
O (0.102, 0.102, 0.102)
Sr (0.500, 0.500, 0.500)

Values from the calculation:
- E_tot: -7.3664 eV/atom
- Size of the total moment: 0.0 μB per formula unit
- ΔE_f (raw): -1.355 eV per atom
- Space-group type: R-3m
- Energy above the most stable polymorph in this dataset: 0 meV/atom

6.
Material: Sc2UCu
Method: DFT, GGA-PBE
State: optimized geometry

Lattice parameters (Å, degrees): 3.017 3.017 8.688 90.00 90.00 90.00
Site moments in Bohr magnetons follow the coordinates.
Fractional coordinates of all 4 atoms:
Sc (0.000, 0.000, 0.786)  0.01
Sc (0.000, 0.000, 0.214)  0.01
U (0.500, 0.500, 0.500)  1.50
Cu (0.500, 0.500, 0.000)  0.00

Values from the calculation:
- E_tot: -6.9649 eV/atom
- ΔE_f: 0.2 eV/f.u.
- Size of the total moment: 1.7 μB per formula unit
- Space-group type: P4/mmm

7.
Material: TiNiSnSe3
Method: DFT, GGA-PBE
State: optimized geometry

Lattice parameters (Å, degrees): 3.684 7.805 9.624 109.19 90.00 90.00
Fractional coordinates of all 12 atoms:
Ti (0.250, 0.676, 0.155)
Ti (0.750, 0.324, 0.845)
Ni (0.250, 0.064, 0.616)
Ni (0.750, 0.936, 0.384)
Sn (0.250, 0.178, 0.320)
Sn (0.750, 0.822, 0.680)
Se (0.750, 0.901, 0.129)
Se (0.250, 0.099, 0.871)
Se (0.250, 0.747, 0.431)
Se (0.750, 0.253, 0.569)
Se (0.750, 0.436, 0.136)
Se (0.250, 0.564, 0.864)

Values from the calculation:
- E_tot: -5.3541 eV/atom
- Size of the total moment: 0.0 μB per formula unit
- ΔE_f (raw): -0.665 eV per atom
- Space-group type: P2_1/m

8.
Material: K2TbI6
Method: DFT, GGA-PBE
State: optimized geometry

Lattice parameters (Å, degrees): 4.234 9.347 10.334 116.89 90.00 90.00
Fractional coordinates of all 9 atoms:
K (0.000, 0.337, 0.679)
K (0.000, 0.658, 0.321)
Tb (0.500, 0.972, 0.000)
I (0.500, 0.621, 0.000)
I (0.500, 0.419, 0.431)
I (0.500, 0.988, 0.569)
I (0.000, 0.225, 0.000)
I (0.000, 0.773, 0.768)
I (0.000, 0.006, 0.232)

Values from the calculation:
- E_tot: -2.9378 eV/atom
- Size of the total moment: 0.0 μB per formula unit
- ΔE_f (raw): -1.146 eV per atom
- Space-group type: Amm2

9.
Material: PaGeRuO6
Method: DFT, GGA-PBE
State: optimized geometry

Lattice parameters (Å, degrees): 5.345 5.345 8.610 90.00 90.00 120.00
Site moments in Bohr magnetons follow the coordinates.
Fractional coordinates of all 18 atoms:
Pa (0.333, 0.667, 0.250)  0.02
Pa (0.667, 0.333, 0.750)  0.02
Ge (0.667, 0.333, 0.250)  -0.01
Ge (0.333, 0.667, 0.750)  -0.01
Ru (0.000, 0.000, 0.000)  0.78
Ru (0.000, 0.000, 0.500)  0.78
O (0.683, 0.648, 0.127)  0.03
O (0.965, 0.317, 0.127)  0.03
O (0.317, 0.965, 0.627)  0.03
O (0.035, 0.683, 0.873)  0.03
O (0.352, 0.317, 0.373)  0.03
O (0.965, 0.648, 0.373)  0.03
O (0.648, 0.965, 0.873)  0.03
O (0.683, 0.035, 0.373)  0.03
O (0.035, 0.352, 0.627)  0.03
O (0.352, 0.035, 0.127)  0.03
O (0.648, 0.683, 0.627)  0.03
O (0.317, 0.352, 0.873)  0.03

Values from the calculation:
- E_tot: -7.7966 eV/atom
- Size of the total moment: 1.0 μB per formula unit
- ΔE_f (raw): -1.892 eV per atom
- Space-group type: P-31c

10.
Material: BaSrCl3
Method: DFT, GGA-PBE
State: optimized geometry

Lattice parameters (Å, degrees): 6.007 6.007 6.007 90.00 90.00 90.00
Fractional coordinates of all 5 atoms:
Sr (0.500, 0.500, 0.500)
Ba (0.000, 0.000, 0.000)
Cl (0.000, 0.500, 0.000)
Cl (0.000, 0.000, 0.500)
Cl (0.500, 0.000, 0.000)

Values from the calculation:
- E_tot: -3.6371 eV/atom
- Size of the total moment: 0.2 μB per formula unit
- ΔE_f (raw): -1.808 eV per atom
- Space-group type: Pm-3m
- Energy above the most stable polymorph in this dataset: 141 meV/atom

11.
Material: BC2
Method: DFT, GGA-PBE
State: optimized geometry

Lattice parameters (Å, degrees): 2.554 2.554 13.495 90.00 90.00 120.00
Fractional coordinates of all 12 atoms:
B (0.667, 0.333, 0.849)
B (0.333, 0.667, 0.642)
B (0.667, 0.333, 0.723)
B (0.000, 0.000, 0.367)
C (0.000, 0.000, 0.901)
C (0.667, 0.333, 0.318)
C (0.000, 0.000, 0.488)
C (0.333, 0.667, 0.525)
C (0.333, 0.667, 0.167)
C (0.667, 0.333, 0.206)
C (0.000, 0.000, 0.013)
C (0.333, 0.667, 0.052)

Values from the calculation:
- E_tot: -8.0184 eV/atom
- ΔE_f: 1.1 eV/f.u.
- Size of the total moment: 0.0 μB per formula unit
- Space-group type: P3m1
- Energy above the most stable polymorph in this dataset: 117 meV/atom

12.
Material: La2TaFeP
Method: DFT, GGA-PBE
State: optimized geometry

Lattice parameters (Å, degrees): 5.616 4.400 5.616 90.00 90.00 90.00
Site moments in Bohr magnetons follow the coordinates.
Fractional coordinates of all 5 atoms:
P (0.500, 0.500, 0.500)  0.02
La (0.000, 0.000, 0.500)  0.02
La (0.500, 0.000, 0.000)  0.01
Fe (0.000, 0.500, 0.000)  1.51
Ta (0.000, 0.000, 0.000)  -0.11

Values from the calculation:
- E_tot: -6.4974 eV/atom
- ΔE_f: 3.1 eV/f.u.
- Size of the total moment: 1.6 μB per formula unit
- Space-group type: P4/mmm

- Which value of E_tot does entry 5 give?
  -7.3664 eV/atom

Repeat the ninth record exactly.
Material: PaGeRuO6
Method: DFT, GGA-PBE
State: optimized geometry

Lattice parameters (Å, degrees): 5.345 5.345 8.610 90.00 90.00 120.00
Site moments in Bohr magnetons follow the coordinates.
Fractional coordinates of all 18 atoms:
Pa (0.333, 0.667, 0.250)  0.02
Pa (0.667, 0.333, 0.750)  0.02
Ge (0.667, 0.333, 0.250)  -0.01
Ge (0.333, 0.667, 0.750)  -0.01
Ru (0.000, 0.000, 0.000)  0.78
Ru (0.000, 0.000, 0.500)  0.78
O (0.683, 0.648, 0.127)  0.03
O (0.965, 0.317, 0.127)  0.03
O (0.317, 0.965, 0.627)  0.03
O (0.035, 0.683, 0.873)  0.03
O (0.352, 0.317, 0.373)  0.03
O (0.965, 0.648, 0.373)  0.03
O (0.648, 0.965, 0.873)  0.03
O (0.683, 0.035, 0.373)  0.03
O (0.035, 0.352, 0.627)  0.03
O (0.352, 0.035, 0.127)  0.03
O (0.648, 0.683, 0.627)  0.03
O (0.317, 0.352, 0.873)  0.03

Values from the calculation:
- E_tot: -7.7966 eV/atom
- Size of the total moment: 1.0 μB per formula unit
- ΔE_f (raw): -1.892 eV per atom
- Space-group type: P-31c

- E_tot of number 6 (Sc2UCu)?
  -6.9649 eV/atom